No. 1
## LiSmBi (PBE)

Data for crystalline LiSmBi at its relaxed geometry.

Cell and atoms, written as CIF:
```
data_LiSmBi
_symmetry_space_group_name_H-M 'P -6 m 2'
_symmetry_Int_Tables_number 187
_symmetry_space_group_name_Hall 'P -6 2'
_cell_length_a 4.5731
_cell_length_b 4.5731
_cell_length_c 4.2650
_cell_angle_alpha 90.00
_cell_angle_beta 90.00
_cell_angle_gamma 120.00
loop_
_atom_site_label
_atom_site_type_symbol
_atom_site_fract_x
_atom_site_fract_y
_atom_site_fract_z
Li1 Li 0.0000 0.0000 0.0000
Sm1 Sm 0.3333 0.6667 0.5000
Bi1 Bi 0.6667 0.3333 0.0000
```

- N(E_F): 2.37 states/eV per cell
- Calculated formation energy: -639 meV per atom
- Electronic total energy: -4.144 eV per atom
- Total magnetic moment: 0.0553 μB per atom
- Energy above the lowest structure with this stoichiometry: 27 meV per atom

***

No. 2
## Ac2Si2Ni (PBE)

Data for crystalline Ac2Si2Ni at its relaxed geometry.

Cell and atoms, written as CIF:
```
data_Ac2Si2Ni
_symmetry_space_group_name_H-M 'A m m 2'
_symmetry_Int_Tables_number 38
_symmetry_space_group_name_Hall 'A 2 -2'
_cell_length_a 4.418
_cell_length_b 4.146
_cell_length_c 13.102
_cell_angle_alpha 90.00
_cell_angle_beta 90.00
_cell_angle_gamma 90.00
loop_
_atom_site_label
_atom_site_type_symbol
_atom_site_fract_x
_atom_site_fract_y
_atom_site_fract_z
Ac1 Ac 0.000 0.000 0.000
Ac2 Ac 0.000 0.000 0.250
Si1 Si 0.500 0.000 0.424
Si2 Si 0.500 0.000 0.630
Ni1 Ni 0.500 0.000 0.827
```

- N(E_F): 6.78 states/eV per cell
- Electronic total energy: -5.446 eV per atom
- E_form (uncorrected): -0.4776 eV per atom
- Total magnetic moment: 0.0000 μB per atom

***

No. 3
## ZrFeRu3 (PBE)

Data for crystalline ZrFeRu3 at its relaxed geometry.

Cell and atoms, written as CIF:
```
data_ZrFeRu3
_symmetry_space_group_name_H-M 'P m -3 m'
_symmetry_Int_Tables_number 221
_symmetry_space_group_name_Hall '-P 4 2 3'
_cell_length_a 4.412
_cell_length_b 4.412
_cell_length_c 4.412
_cell_angle_alpha 90.00
_cell_angle_beta 90.00
_cell_angle_gamma 90.00
loop_
_atom_site_label
_atom_site_type_symbol
_atom_site_fract_x
_atom_site_fract_y
_atom_site_fract_z
Zr1 Zr 0.000 0.000 0.000
Fe1 Fe 0.500 0.500 0.500
Ru1 Ru 0.000 0.500 0.500
```

- N(E_F): 9.77 states/eV per cell
- Calculated formation energy: 754 meV per atom
- Electronic total energy: -8.214 eV per atom
- Total magnetic moment: 0.1778 μB per atom
- Energy above the lowest structure with this stoichiometry: 0 meV per atom

***

No. 4
## Cs2OsPb2O6 (PBE)

Data for crystalline Cs2OsPb2O6 at its relaxed geometry.

Cell and atoms, written as CIF:
```
data_Cs2OsPb2O6
_symmetry_space_group_name_H-M 'C 1 2/m 1'
_symmetry_Int_Tables_number 12
_symmetry_space_group_name_Hall '-C 2y'
_cell_length_a 6.341
_cell_length_b 10.375
_cell_length_c 7.119
_cell_angle_alpha 90.00
_cell_angle_beta 106.08
_cell_angle_gamma 90.00
loop_
_atom_site_label
_atom_site_type_symbol
_atom_site_fract_x
_atom_site_fract_y
_atom_site_fract_z
Cs1 Cs 0.000 0.173 0.000
Os1 Os 0.000 0.000 0.500
Pb1 Pb 0.000 0.335 0.500
O1 O 0.185 0.139 0.656
O2 O 0.198 0.000 0.333
```

- N(E_F): 6.80 states/eV per cell
- Electronic total energy: -5.732 eV per atom
- E_form (uncorrected): -1.1773 eV per atom
- Total magnetic moment: 0.1654 μB per atom

***

No. 5
## SrCaSi4 (PBE)

Data for crystalline SrCaSi4 at its relaxed geometry.

Cell and atoms, written as CIF:
```
data_SrCaSi4
_symmetry_space_group_name_H-M 'I -4 m 2'
_symmetry_Int_Tables_number 119
_symmetry_space_group_name_Hall 'I -4 -2'
_cell_length_a 4.379
_cell_length_b 4.379
_cell_length_c 13.681
_cell_angle_alpha 90.00
_cell_angle_beta 90.00
_cell_angle_gamma 90.00
loop_
_atom_site_label
_atom_site_type_symbol
_atom_site_fract_x
_atom_site_fract_y
_atom_site_fract_z
Sr1 Sr 0.000 0.000 0.000
Ca1 Ca 0.000 0.500 0.750
Si1 Si 0.000 0.000 0.414
Si2 Si 0.000 0.500 0.166
```

- N(E_F): 4.16 states/eV per cell
- Electronic total energy: -4.589 eV per atom
- E_form (uncorrected): -0.3600 eV per atom
- Total magnetic moment: 0.0000 μB per atom
- Energy above the lowest structure with this stoichiometry: 4 meV per atom

***

No. 6
## Li3MnB (PBE)

Data for crystalline Li3MnB at its relaxed geometry.

Cell and atoms, written as CIF:
```
data_Li3MnB
_symmetry_space_group_name_H-M 'P m -3 m'
_symmetry_Int_Tables_number 221
_symmetry_space_group_name_Hall '-P 4 2 3'
_cell_length_a 4.703
_cell_length_b 4.703
_cell_length_c 4.703
_cell_angle_alpha 90.00
_cell_angle_beta 90.00
_cell_angle_gamma 90.00
loop_
_atom_site_label
_atom_site_type_symbol
_atom_site_fract_x
_atom_site_fract_y
_atom_site_fract_z
Li1 Li 0.000 0.000 0.500
Mn1 Mn 0.000 0.000 0.000
B1 B 0.500 0.500 0.500
```

- N(E_F): 3.03 states/eV per cell
- Calculated formation energy: 1544 meV per atom
- Electronic total energy: -2.774 eV per atom
- Total magnetic moment: 0.8061 μB per atom
- Energy above the lowest structure with this stoichiometry: 412 meV per atom

***

No. 7
## TbCeInPb (PBE)

Data for crystalline TbCeInPb at its relaxed geometry.

Cell and atoms, written as CIF:
```
data_TbCeInPb
_symmetry_space_group_name_H-M 'I -4 m 2'
_symmetry_Int_Tables_number 119
_symmetry_space_group_name_Hall 'I -4 -2'
_cell_length_a 5.026
_cell_length_b 5.026
_cell_length_c 8.944
_cell_angle_alpha 90.00
_cell_angle_beta 90.00
_cell_angle_gamma 90.00
loop_
_atom_site_label
_atom_site_type_symbol
_atom_site_fract_x
_atom_site_fract_y
_atom_site_fract_z
Tb1 Tb 0.000 0.000 0.000
Ce1 Ce 0.000 0.000 0.500
In1 In 0.000 0.500 0.750
Pb1 Pb 0.000 0.500 0.250
```

- N(E_F): 17.41 states/eV per cell
- Calculated formation energy: -413 meV per atom
- Electronic total energy: -4.666 eV per atom
- Total magnetic moment: 0.3369 μB per atom
- Energy above the lowest structure with this stoichiometry: 0 meV per atom

***

No. 8
## MnTcS2Cl (PBE)

Data for crystalline MnTcS2Cl at its relaxed geometry.

Cell and atoms, written as CIF:
```
data_MnTcS2Cl
_symmetry_space_group_name_H-M 'P 4/m m m'
_symmetry_Int_Tables_number 123
_symmetry_space_group_name_Hall '-P 4 2'
_cell_length_a 4.563
_cell_length_b 4.563
_cell_length_c 4.948
_cell_angle_alpha 90.00
_cell_angle_beta 90.00
_cell_angle_gamma 90.00
loop_
_atom_site_label
_atom_site_type_symbol
_atom_site_fract_x
_atom_site_fract_y
_atom_site_fract_z
Mn1 Mn 0.000 0.000 0.000
Tc1 Tc 0.500 0.500 0.500
S1 S 0.000 0.500 0.500
Cl1 Cl 0.500 0.500 0.000
```

- N(E_F): 5.37 states/eV per cell
- Electronic total energy: -5.101 eV per atom
- E_form (uncorrected): 0.8268 eV per atom
- Total magnetic moment: 0.0143 μB per atom
- Energy above the lowest structure with this stoichiometry: 364 meV per atom

***

No. 9
## Zr2ScPt (PBE)

Data for crystalline Zr2ScPt at its relaxed geometry.

Cell and atoms, written as CIF:
```
data_Zr2ScPt
_symmetry_space_group_name_H-M 'I m m 2'
_symmetry_Int_Tables_number 44
_symmetry_space_group_name_Hall 'I 2 -2'
_cell_length_a 3.464
_cell_length_b 4.813
_cell_length_c 9.848
_cell_angle_alpha 90.00
_cell_angle_beta 90.00
_cell_angle_gamma 90.00
loop_
_atom_site_label
_atom_site_type_symbol
_atom_site_fract_x
_atom_site_fract_y
_atom_site_fract_z
Zr1 Zr 0.000 0.000 0.000
Zr2 Zr 0.000 0.500 0.233
Sc1 Sc 0.000 0.500 0.775
Pt1 Pt 0.000 0.000 0.502
```

- N(E_F): 8.19 states/eV per cell
- Calculated formation energy: -526 meV per atom
- Electronic total energy: -7.893 eV per atom
- Total magnetic moment: 0.0000 μB per atom
- Energy above the lowest structure with this stoichiometry: 52 meV per atom

***

No. 10
## RbLiSn2C (PBE)

Data for crystalline RbLiSn2C at its relaxed geometry.

Cell and atoms, written as CIF:
```
data_RbLiSn2C
_symmetry_space_group_name_H-M 'P 4/m m m'
_symmetry_Int_Tables_number 123
_symmetry_space_group_name_Hall '-P 4 2'
_cell_length_a 6.166
_cell_length_b 6.166
_cell_length_c 4.776
_cell_angle_alpha 90.00
_cell_angle_beta 90.00
_cell_angle_gamma 90.00
loop_
_atom_site_label
_atom_site_type_symbol
_atom_site_fract_x
_atom_site_fract_y
_atom_site_fract_z
Rb1 Rb 0.000 0.000 0.000
Li1 Li 0.500 0.500 0.500
Sn1 Sn 0.000 0.500 0.000
C1 C 0.000 0.000 0.500
```

- N(E_F): 5.35 states/eV per cell
- Calculated formation energy: 2028 meV per atom
- Electronic total energy: -1.994 eV per atom
- Total magnetic moment: 0.0014 μB per atom

***

Among the records above, which one has the lowest N(E_F)? LiSmBi